No. 1
DFT (PBE-GGA) results for a relaxed FeSbW2 crystal.

Calculated values
Calculated total energy   -9.06 eV/atom
Uncorrected formation energy   0.57 eV per atom

abc: 4.2311 4.2396 7.1754
angles: 90.00 90.00 90.00
Space group Cmmm (No. 65)
Asymmetric unit:
Fe 0.0000 0.0000 0.0000 [2 per cell]
Sb 0.0000 0.0000 0.5000 [2 per cell]
W 0.0000 0.5000 0.2161 [4 per cell]


No. 2
DFT (PBE-GGA) results for a relaxed FeSbW2 crystal.

Calculated values
Calculated total energy   -9.23 eV/atom
Uncorrected formation energy   0.40 eV per atom

abc: 3.2414 3.2414 6.1513
angles: 90.00 90.00 90.00
Space group P4mm (No. 99)
Asymmetric unit:
Fe 0.0000 0.0000 0.0000 [1 per cell]
Sb 0.5000 0.5000 0.2600 [1 per cell]
W 0.0000 0.0000 0.5385 [1 per cell]
W 0.5000 0.5000 0.7900 [1 per cell]


No. 3
DFT (PBE-GGA) results for a relaxed Fe3SbW crystal.

Calculated values
Calculated total energy   -6.64 eV/atom
Uncorrected formation energy   1.85 eV per atom

abc: 4.5789 4.5789 4.5789
angles: 90.00 90.00 90.00
Space group Pm-3m (No. 221)
Asymmetric unit:
Fe 0.0000 0.0000 0.5000 [3 per cell]
Sb 0.0000 0.0000 0.0000 [1 per cell]
W 0.5000 0.5000 0.5000 [1 per cell]


No. 4
DFT (PBE-GGA) results for a relaxed FeSb2W crystal.

Calculated values
Calculated total energy   -7.17 eV/atom
Uncorrected formation energy   0.24 eV per atom

abc: 3.0915 3.0915 8.6236
angles: 90.00 90.00 90.00
Space group P4mm (No. 99)
Asymmetric unit:
Fe 0.0000 0.0000 0.0000 [1 per cell]
Sb 0.0000 0.0000 0.6051 [1 per cell]
Sb 0.5000 0.5000 0.1962 [1 per cell]
W 0.5000 0.5000 0.8375 [1 per cell]


No. 5
DFT (PBE-GGA) results for a relaxed FeSb2W crystal.

Calculated values
Calculated total energy   -6.89 eV/atom
Uncorrected formation energy   0.52 eV per atom

abc: 3.3512 3.3512 6.3762
angles: 90.00 90.00 90.00
Space group P4/mmm (No. 123)
Asymmetric unit:
Fe 0.0000 0.0000 0.0000 [1 per cell]
Sb 0.5000 0.5000 0.2462 [2 per cell]
W 0.0000 0.0000 0.5000 [1 per cell]


No. 6
DFT (PBE-GGA) results for a relaxed FeSbW2 crystal.

Calculated values
Calculated total energy   -9.20 eV/atom
Uncorrected formation energy   0.42 eV per atom

abc: 9.7776 3.3211 4.2724
angles: 90.00 113.96 90.00
Space group C2/m (No. 12)
Asymmetric unit:
Fe 0.0000 0.0000 0.0000 [2 per cell]
Sb 0.0000 0.5000 0.5000 [2 per cell]
W 0.2455 0.5000 0.2431 [4 per cell]


No. 7
DFT (PBE-GGA) results for a relaxed Fe2SbW crystal.

Calculated values
Calculated total energy   -8.02 eV/atom
Uncorrected formation energy   0.48 eV per atom

abc: 3.0045 3.0045 23.6626
angles: 90.00 90.00 120.00
Space group R-3m (No. 166, hexagonal axes)
Asymmetric unit:
Fe 0.0000 0.0000 0.2442 [6 per cell]
Sb 0.0000 0.0000 0.0000 [3 per cell]
W 0.0000 0.0000 0.5000 [3 per cell]


No. 8
DFT (PBE-GGA) results for a relaxed FeSbW2 crystal.

Calculated values
Calculated total energy   -9.13 eV/atom
Uncorrected formation energy   0.50 eV per atom

abc: 2.9131 4.3000 5.3302
angles: 90.00 101.30 90.00
Space group Pm (No. 6)
Asymmetric unit:
Fe 0.0000 0.0000 0.0000 [1 per cell]
Sb 0.0158 0.5000 0.2665 [1 per cell]
W 0.3555 0.5000 0.7915 [1 per cell]
W 0.5885 0.0000 0.5383 [1 per cell]


No. 9
DFT (PBE-GGA) results for a relaxed FeSb2W crystal.

Calculated values
Calculated total energy   -6.87 eV/atom
Uncorrected formation energy   0.55 eV per atom

abc: 3.2358 3.2358 24.5897
angles: 90.00 90.00 120.00
Space group R-3m (No. 166, hexagonal axes)
Asymmetric unit:
Fe 0.0000 0.0000 0.0000 [3 per cell]
Sb 0.0000 0.0000 0.2535 [6 per cell]
W 0.0000 0.0000 0.5000 [3 per cell]


No. 10
DFT (PBE-GGA) results for a relaxed Fe2Sb2W crystal.

Calculated values
Calculated total energy   -7.12 eV/atom
Uncorrected formation energy   0.51 eV per atom

abc: 6.7914 6.7914 3.5693
angles: 90.00 90.00 90.00
Space group P4/mbm (No. 127)
Asymmetric unit:
Fe 0.1213 0.3787 0.0000 [4 per cell]
Sb 0.1786 0.6786 0.5000 [4 per cell]
W 0.0000 0.0000 0.0000 [2 per cell]


No. 11
DFT (PBE-GGA) results for a relaxed FeSb2W crystal.

Calculated values
Calculated total energy   -6.64 eV/atom
Uncorrected formation energy   0.78 eV per atom

abc: 4.0545 4.0545 9.0213
angles: 90.00 90.00 90.00
Space group I-4m2 (No. 119)
Asymmetric unit:
Fe 0.0000 0.0000 0.0000 [2 per cell]
Sb 0.0000 0.0000 0.5000 [2 per cell]
Sb 0.0000 0.5000 0.7500 [2 per cell]
W 0.0000 0.5000 0.2500 [2 per cell]


No. 12
DFT (PBE-GGA) results for a relaxed FeSbW2 crystal.

Calculated values
Calculated total energy   -8.92 eV/atom
Uncorrected formation energy   0.70 eV per atom

abc: 6.3234 6.3234 6.3234
angles: 90.00 90.00 90.00
Space group Fm-3m (No. 225)
Asymmetric unit:
Fe 0.0000 0.0000 0.0000 [4 per cell]
Sb 0.0000 0.0000 0.5000 [4 per cell]
W 0.2500 0.2500 0.2500 [8 per cell]